1.
PBE Hf5Nb2Ga5, optimized geometry; space-group type = No. 12; formation energy from the elements = -276 meV per atom; E_tot = -88.354 eV/f.u.
1.0
6.214 -1.977 0.000
6.214 1.977 0.000
-4.856 0.000 9.208
Hf Nb Ga
5 2 5
direct
0.000 0.000 0.000
0.104 0.104 0.754
0.155 0.155 0.489
0.845 0.845 0.511
0.896 0.896 0.246
0.418 0.418 0.758
0.582 0.582 0.242
0.245 0.245 0.278
0.332 0.332 0.018
0.500 0.500 0.500
0.668 0.668 0.982
0.755 0.755 0.722

2.
PBE HfNb2Ga, optimized geometry; space-group type = No. 12; formation energy from the elements = -67 meV per atom; E_tot = -33.388 eV/f.u.
1.0
2.265 -1.824 0.000
2.265 1.824 0.000
-0.012 0.000 9.008
Hf Nb Ga
1 2 1
direct
0.000 0.000 0.000
0.500 0.500 0.266
0.500 0.500 0.734
0.000 0.000 0.500

3.
PBE HfNbGa, optimized geometry; ΔE to the lowest computed polymorph = 29.1 kJ/mol of formula units; space-group type = No. 12; formation energy from the elements = -285 meV per atom; E_tot = -23.904 eV/f.u.
1.0
5.054 -1.832 0.000
5.054 1.832 0.000
-4.021 0.000 6.116
Hf Nb Ga
2 2 2
direct
0.076 0.076 0.318
0.924 0.924 0.682
0.337 0.337 0.942
0.663 0.663 0.058
0.362 0.362 0.340
0.638 0.638 0.660

4.
PBE HfNbGa3, optimized geometry; ΔE to the lowest computed polymorph = 0.0 kJ/mol of formula units; space-group type = No. 15; formation energy from the elements = -227 meV per atom; E_tot = -30.241 eV/f.u.
1.0
5.391 -4.604 0.000
5.391 4.604 0.000
-0.625 0.000 7.237
Hf Nb Ga
4 4 12
direct
0.105 0.895 0.750
0.299 0.701 0.250
0.701 0.299 0.750
0.895 0.105 0.250
0.181 0.399 0.917
0.399 0.181 0.417
0.601 0.819 0.583
0.819 0.601 0.083
0.051 0.239 0.586
0.094 0.409 0.281
0.239 0.051 0.086
0.322 0.544 0.594
0.409 0.094 0.781
0.456 0.678 0.906
0.544 0.322 0.094
0.591 0.906 0.219
0.678 0.456 0.406
0.761 0.949 0.914
0.906 0.591 0.719
0.949 0.761 0.414

5.
PBE HfNbGa, optimized geometry; ΔE to the lowest computed polymorph = 105.6 kJ/mol of formula units; space-group type = No. 156; formation energy from the elements = -20 meV per atom; E_tot = -23.111 eV/f.u.
1.0
4.701 0.000 0.000
-2.351 4.071 0.000
0.000 0.000 2.982
Hf Nb Ga
1 1 1
direct
0.000 0.000 0.000
0.333 0.667 0.569
0.667 0.333 0.391

6.
PBE HfNb5Ga2, optimized geometry; space-group type = No. 71; formation energy from the elements = -91 meV per atom; E_tot = -67.082 eV/f.u.
1.0
-1.678 4.303 5.143
1.678 -4.303 5.143
1.678 4.303 -5.143
Hf Nb Ga
1 5 2
direct
0.000 0.000 0.000
0.157 0.355 0.802
0.447 0.645 0.802
0.500 0.000 0.500
0.553 0.355 0.198
0.843 0.645 0.198
0.222 0.722 0.500
0.778 0.278 0.500

7.
PBE HfNb5Ga6, optimized geometry; space-group type = No. 12; formation energy from the elements = -27 meV per atom; E_tot = -78.782 eV/f.u.
1.0
3.236 -5.645 0.000
3.236 5.645 0.000
-2.192 0.000 6.075
Hf Nb Ga
1 5 6
direct
0.000 0.000 0.000
0.163 0.837 0.500
0.331 0.669 0.000
0.500 0.500 0.500
0.669 0.331 0.000
0.837 0.163 0.500
0.086 0.425 0.255
0.257 0.257 0.750
0.425 0.086 0.255
0.575 0.914 0.745
0.743 0.743 0.250
0.914 0.575 0.745

8.
PBE HfPaNbGa, optimized geometry; space-group type = No. 216; formation energy from the elements = -14 meV per atom; E_tot = -32.601 eV/f.u.
1.0
0.000 3.473 3.473
3.473 0.000 3.473
3.473 3.473 0.000
Hf Pa Nb Ga
1 1 1 1
direct
0.000 0.000 0.000
0.500 0.500 0.500
0.750 0.750 0.750
0.250 0.250 0.250

9.
PBE HfNbGa2Ru, optimized geometry; space-group type = No. 123; formation energy from the elements = 497 meV per atom; E_tot = -32.869 eV/f.u.
1.0
4.655 0.000 0.000
0.000 4.655 0.000
0.000 0.000 4.901
Hf Nb Ga Ru
1 1 2 1
direct
0.000 0.000 0.000
0.500 0.500 0.000
0.000 0.500 0.500
0.500 0.000 0.500
0.000 0.000 0.500

10.
PBE Hf2TaNbGa, optimized geometry; space-group type = No. 123; formation energy from the elements = 1262 meV per atom; E_tot = -38.547 eV/f.u.
1.0
4.937 0.000 0.000
0.000 4.937 0.000
0.000 0.000 4.862
Hf Ta Nb Ga
2 1 1 1
direct
0.000 0.500 0.000
0.500 0.000 0.000
0.000 0.000 0.500
0.500 0.500 0.000
0.500 0.500 0.500

11.
PBE HfTiNbGa, optimized geometry; space-group type = No. 216; formation energy from the elements = -183 meV per atom; E_tot = -31.679 eV/f.u.
1.0
0.000 3.299 3.299
3.299 0.000 3.299
3.299 3.299 0.000
Hf Ti Nb Ga
1 1 1 1
direct
0.000 0.000 0.000
0.500 0.500 0.500
0.250 0.250 0.250
0.750 0.750 0.750

12.
PBE HfZrNbGa, optimized geometry; space-group type = No. 216; formation energy from the elements = -174 meV per atom; E_tot = -32.293 eV/f.u.
1.0
0.000 3.394 3.394
3.394 0.000 3.394
3.394 3.394 0.000
Hf Zr Nb Ga
1 1 1 1
direct
0.000 0.000 0.000
0.500 0.500 0.500
0.250 0.250 0.250
0.750 0.750 0.750

13.
PBE NdHfGa4, optimized geometry; ΔE to the lowest computed polymorph = 0.0 kJ/mol of formula units; space-group type = No. 71; formation energy from the elements = -449 meV per atom; E_tot = -29.522 eV/f.u.
1.0
-2.088 3.649 3.926
2.088 -3.649 3.926
2.088 3.649 -3.926
Nd Hf Ga
1 1 4
direct
0.000 0.000 0.000
0.500 0.500 0.000
0.092 0.757 0.335
0.423 0.757 0.665
0.577 0.243 0.335
0.908 0.243 0.665

14.
PBE NdHfGa2, optimized geometry; ΔE to the lowest computed polymorph = 0.0 kJ/mol of formula units; space-group type = No. 123; formation energy from the elements = -412 meV per atom; E_tot = -22.422 eV/f.u.
1.0
3.607 0.000 0.000
0.000 3.607 0.000
0.000 0.000 6.666
Nd Hf Ga
1 1 2
direct
0.000 0.000 0.000
0.000 0.000 0.500
0.500 0.500 0.293
0.500 0.500 0.707

15.
PBE NdHfGa2, optimized geometry; ΔE to the lowest computed polymorph = 67.3 kJ/mol of formula units; space-group type = No. 166; formation energy from the elements = -237 meV per atom; E_tot = -21.725 eV/f.u.
1.0
1.788 1.032 8.416
-1.788 1.032 8.416
0.000 -2.064 8.416
Nd Hf Ga
1 1 2
direct
0.000 0.000 0.000
0.500 0.500 0.500
0.243 0.243 0.243
0.757 0.757 0.757

16.
PBE NdHfGa4, optimized geometry; ΔE to the lowest computed polymorph = 33.7 kJ/mol of formula units; space-group type = No. 216; formation energy from the elements = -391 meV per atom; E_tot = -29.173 eV/f.u.
1.0
0.000 3.855 3.855
3.855 0.000 3.855
3.855 3.855 0.000
Nd Hf Ga
1 1 4
direct
0.000 0.000 0.000
0.750 0.750 0.750
0.376 0.376 0.376
0.376 0.376 0.873
0.376 0.873 0.376
0.873 0.376 0.376

17.
PBE NdHfGa, optimized geometry; space-group type = No. 189; formation energy from the elements = -275 meV per atom; E_tot = -18.572 eV/f.u.
1.0
7.633 0.000 0.000
-3.816 6.610 0.000
0.000 0.000 4.362
Nd Hf Ga
3 3 3
direct
0.000 0.410 0.000
0.410 0.000 0.000
0.590 0.590 0.000
0.000 0.762 0.500
0.238 0.238 0.500
0.762 0.000 0.500
0.000 0.000 0.000
0.333 0.667 0.500
0.667 0.333 0.500

18.
PBE NdHfGa6, optimized geometry; space-group type = No. 123; formation energy from the elements = -442 meV per atom; E_tot = -36.416 eV/f.u.
1.0
4.264 0.000 0.000
0.000 4.264 0.000
0.000 0.000 8.427
Nd Hf Ga
1 1 6
direct
0.000 0.000 0.000
0.000 0.000 0.500
0.000 0.500 0.265
0.000 0.500 0.735
0.500 0.000 0.265
0.500 0.000 0.735
0.500 0.500 0.000
0.500 0.500 0.500

19.
PBE HfGa2Ni, optimized geometry; space-group type = No. 62; formation energy from the elements = -494 meV per atom; E_tot = -23.763 eV/f.u.
1.0
7.489 0.000 0.000
0.000 6.371 0.000
0.000 0.000 5.223
Hf Ga Ni
4 8 4
direct
0.029 0.250 0.113
0.471 0.750 0.613
0.529 0.250 0.387
0.971 0.750 0.887
0.191 0.049 0.615
0.191 0.451 0.615
0.309 0.549 0.115
0.309 0.951 0.115
0.691 0.049 0.885
0.691 0.451 0.885
0.809 0.549 0.385
0.809 0.951 0.385
0.087 0.750 0.373
0.413 0.250 0.873
0.587 0.750 0.127
0.913 0.250 0.627

20.
PBE Hf3GaNi12, optimized geometry; space-group type = No. 123; formation energy from the elements = -473 meV per atom; E_tot = -109.828 eV/f.u.
1.0
3.701 0.000 0.000
0.000 3.701 0.000
0.000 0.000 14.688
Hf Ga Ni
3 1 12
direct
0.000 0.000 0.000
0.000 0.000 0.257
0.000 0.000 0.743
0.000 0.000 0.500
0.000 0.500 0.127
0.000 0.500 0.383
0.000 0.500 0.617
0.000 0.500 0.873
0.500 0.000 0.127
0.500 0.000 0.383
0.500 0.000 0.617
0.500 0.000 0.873
0.500 0.500 0.000
0.500 0.500 0.255
0.500 0.500 0.500
0.500 0.500 0.745

21.
PBE Hf4Ga2Ni, optimized geometry; space-group type = No. 139; formation energy from the elements = 114 meV per atom; E_tot = -50.850 eV/f.u.
1.0
-2.293 2.293 7.199
2.293 -2.293 7.199
2.293 2.293 -7.199
Hf Ga Ni
4 2 1
direct
0.000 0.500 0.500
0.180 0.180 0.000
0.500 0.000 0.500
0.820 0.820 0.000
0.369 0.369 0.000
0.631 0.631 0.000
0.000 0.000 0.000

22.
PBE HfGa2Ni9, optimized geometry; space-group type = No. 123; formation energy from the elements = -372 meV per atom; E_tot = -72.503 eV/f.u.
1.0
3.656 0.000 0.000
0.000 3.656 0.000
0.000 0.000 10.747
Hf Ga Ni
1 2 9
direct
0.000 0.000 0.000
0.000 0.000 0.339
0.000 0.000 0.661
0.000 0.500 0.176
0.000 0.500 0.500
0.000 0.500 0.824
0.500 0.000 0.176
0.500 0.000 0.500
0.500 0.000 0.824
0.500 0.500 0.000
0.500 0.500 0.338
0.500 0.500 0.662

23.
PBE HfGa3Ni, optimized geometry; ΔE to the lowest computed polymorph = 0.0 kJ/mol of formula units; space-group type = No. 14; formation energy from the elements = -348 meV per atom; E_tot = -26.556 eV/f.u.
1.0
8.240 0.000 0.000
0.000 5.368 0.000
-0.823 0.000 7.125
Hf Ga Ni
4 12 4
direct
0.120 0.124 0.192
0.120 0.376 0.692
0.880 0.624 0.308
0.880 0.876 0.808
0.119 0.629 0.058
0.119 0.871 0.558
0.289 0.609 0.370
0.289 0.891 0.870
0.383 0.167 0.500
0.383 0.333 0.000
0.617 0.667 0.000
0.617 0.833 0.500
0.711 0.109 0.130
0.711 0.391 0.630
0.881 0.129 0.442
0.881 0.371 0.942
0.442 0.555 0.707
0.442 0.945 0.207
0.558 0.055 0.793
0.558 0.445 0.293

24.
PBE Hf2Ga8Ni, optimized geometry; space-group type = No. 12; formation energy from the elements = -279 meV per atom; E_tot = -52.975 eV/f.u.
1.0
8.300 -2.018 0.000
8.300 2.018 0.000
-1.094 0.000 5.749
Hf Ga Ni
2 8 1
direct
0.190 0.190 0.091
0.810 0.810 0.909
0.011 0.011 0.767
0.216 0.216 0.600
0.375 0.375 0.223
0.395 0.395 0.720
0.605 0.605 0.280
0.625 0.625 0.777
0.784 0.784 0.400
0.989 0.989 0.233
0.500 0.500 0.500